1.
{
  "formula": "La6InAu2",
  "functional": "PBE",
  "state": "optimized geometry",
  "space_group": "No. 71",
  "m_tot_mub_per_fu": 0.00,
  "formation_energy_kcal_per_mol_atoms": -10.56,
  "lattice": [[-0.162, 1.639, -8.978], [7.484, -4.425, 2.780], [-6.937, -5.465, 2.312]],
  "species": ["La", "La", "La", "La", "La", "La", "La", "La", "La", "La", "La", "La", "In", "In", "Au", "Au", "Au", "Au"],
  "frac_coords": [[0.536, 0.717, 0.819], [0.464, 0.283, 0.181], [0.102, 0.283, 0.819], [0.898, 0.717, 0.181], [0.805, 0.757, 0.563], [0.195, 0.243, 0.437], [0.195, 0.757, 0.952], [0.805, 0.243, 0.048], [0.704, 0.377, 0.672], [0.296, 0.623, 0.328], [0.296, 0.968, 0.672], [0.704, 0.032, 0.328], [0.000, 0.500, 0.500], [0.000, 0.000, 0.000], [0.500, 0.369, 0.869], [0.500, 0.631, 0.131], [0.656, 0.000, 0.656], [0.344, 0.000, 0.344]]
}

2.
{
  "formula": "La6In2Au",
  "functional": "PBE",
  "state": "optimized geometry",
  "space_group": "No. 136",
  "m_tot_mub_per_fu": 0.00,
  "formation_energy_kcal_per_mol_atoms": -8.88,
  "de_polymorph_mev_per_atom": 37,
  "lattice": [[5.295, 0.000, 0.261], [0.000, 10.481, 0.000], [-0.517, 0.000, 10.471]],
  "species": ["La", "La", "La", "La", "La", "La", "La", "La", "La", "La", "La", "La", "In", "In", "In", "In", "Au", "Au"],
  "frac_coords": [[0.000, 0.020, 0.185], [0.000, 0.685, 0.520], [0.000, 0.619, 0.881], [0.500, 0.119, 0.618], [0.500, 0.185, 0.980], [0.500, 0.520, 0.315], [0.000, 0.980, 0.815], [0.000, 0.315, 0.480], [0.000, 0.381, 0.119], [0.500, 0.881, 0.382], [0.500, 0.815, 0.020], [0.500, 0.480, 0.685], [0.000, 0.297, 0.797], [0.500, 0.797, 0.703], [0.500, 0.203, 0.297], [0.000, 0.703, 0.203], [0.500, 0.500, 0.000], [0.000, 0.000, 0.500]]
}